(1)
## HfCu2Ni (GGA-PBE)

Data for HfCu2Ni after structural relaxation.

Cell and atoms, written as CIF:
```
data_HfCu2Ni
_chemical_formula_sum 'Hf4 Cu8 Ni4'
_space_group_name_H-M_alt 'I -4 2 d'
_space_group_IT_number 122
_space_group_name_Hall 'I -4 2bw'
_cell_length_a 6.974
_cell_length_b 6.974
_cell_length_c 4.963
_cell_angle_alpha 90.00
_cell_angle_beta 90.00
_cell_angle_gamma 90.00
loop_
_atom_site_label
_atom_site_type_symbol
_atom_site_fract_x
_atom_site_fract_y
_atom_site_fract_z
Hf1 Hf 0.000 0.000 0.000
Cu1 Cu 0.213 0.750 0.625
Ni1 Ni 0.000 0.000 0.500
```

Results
- E_tot (eV/atom) = -5.795
- density (kg/m³) = 10024
- energy of formation from the pure elements (eV per atom) = 0.19


(2)
## HfCuNi (GGA-PBE)

Data for HfCuNi after structural relaxation.

Cell and atoms, written as CIF:
```
data_HfCuNi
_chemical_formula_sum 'Hf2 Cu2 Ni2'
_space_group_name_H-M_alt 'P 4/m m m'
_space_group_IT_number 123
_space_group_name_Hall '-P 4 2'
_cell_length_a 3.271
_cell_length_b 3.271
_cell_length_c 8.202
_cell_angle_alpha 90.00
_cell_angle_beta 90.00
_cell_angle_gamma 90.00
loop_
_atom_site_label
_atom_site_type_symbol
_atom_site_fract_x
_atom_site_fract_y
_atom_site_fract_z
Hf1 Hf 0.000 0.000 0.000
Hf2 Hf 0.500 0.500 0.500
Cu1 Cu 0.000 0.000 0.327
Ni1 Ni 0.500 0.500 0.171
```

Results
- E_tot (eV/atom) = -6.941
- density (kg/m³) = 11381
- energy of formation from the pure elements (eV per atom) = -0.33


energy of formation from the pure elements of number 1 (HfCu2Ni)? 0.19 eV per atom